Entry i
First-principles (PBE-GGA) data for crystalline HfZr3Tl2 at its relaxed geometry, as listed in Alexandria via LeMat-Bulk.

Properties
Space group: No. 71

POSCAR file:
```
HfZr3Tl2
1.0
-0.544 -0.238 -3.050
-1.496 -5.203 0.673
-7.102 5.218 2.443
Tl Zr Hf
2 3 1
Direct
0.657 0.657 0.314 Tl
0.343 0.343 0.686 Tl
0.830 0.830 0.660 Zr
0.000 0.500 0.000 Zr
0.170 0.170 0.340 Zr
0.000 0.000 0.000 Hf
```

Entry ii
First-principles (PBE-GGA) data for crystalline HfZr3Tl2 at its relaxed geometry, as listed in Alexandria via LeMat-Bulk.

Properties
Space group: No. 62

POSCAR file:
```
HfZr3Tl2
1.0
-0.053 -2.208 2.432
-5.136 -4.828 -4.495
15.995 -9.399 -8.181
Tl Zr Hf
8 12 4
Direct
0.250 0.165 0.690 Tl
0.750 0.765 0.083 Tl
0.250 0.735 0.583 Tl
0.750 0.335 0.190 Tl
0.250 0.235 0.917 Tl
0.750 0.835 0.310 Tl
0.250 0.665 0.810 Tl
0.750 0.265 0.417 Tl
0.250 0.527 0.345 Zr
0.250 0.027 0.155 Zr
0.250 0.151 0.297 Zr
0.250 0.651 0.203 Zr
0.750 0.473 0.655 Zr
0.750 0.849 0.703 Zr
0.250 0.360 0.537 Zr
0.750 0.140 0.037 Zr
0.750 0.973 0.845 Zr
0.750 0.640 0.463 Zr
0.750 0.349 0.797 Zr
0.250 0.860 0.963 Zr
0.750 0.548 0.938 Hf
0.250 0.452 0.062 Hf
0.750 0.048 0.562 Hf
0.250 0.952 0.438 Hf
```

The calculated energies rank the structures as follows, beginning with the most stable: entry ii, entry i.

Entry i
First-principles (PBE-GGA) data for crystalline HfZr5Tl3 at its relaxed geometry, as listed in Alexandria via LeMat-Bulk.

Properties
Space group: No. 140

POSCAR file:
```
HfZr5Tl3
1.0
7.544 0.000 0.000
0.000 7.544 0.000
-3.772 -3.772 7.547
Tl Zr Hf
6 10 2
Direct
0.375 0.875 0.000 Tl
0.250 0.250 0.500 Tl
0.875 0.625 0.000 Tl
0.125 0.375 0.000 Tl
0.750 0.750 0.500 Tl
0.625 0.125 0.000 Tl
0.065 0.565 0.715 Zr
0.850 0.935 0.285 Zr
0.650 0.150 0.715 Zr
0.565 0.650 0.715 Zr
0.000 0.000 0.000 Zr
0.500 0.500 0.000 Zr
0.350 0.850 0.285 Zr
0.150 0.065 0.715 Zr
0.935 0.435 0.285 Zr
0.435 0.350 0.285 Zr
0.750 0.250 0.500 Hf
0.250 0.750 0.500 Hf
```

Entry ii
First-principles (PBE-GGA) data for crystalline HfZr5Tl3 at its relaxed geometry, as listed in Alexandria via LeMat-Bulk.

Properties
Space group: No. 193

POSCAR file:
```
HfZr5Tl3
1.0
6.055 0.000 0.000
0.000 7.645 -4.414
0.000 0.000 8.827
Zr Tl Hf
10 6 2
Direct
0.750 0.670 0.670 Zr
0.000 0.667 0.333 Zr
0.750 0.330 0.000 Zr
0.500 0.667 0.333 Zr
0.000 0.333 0.667 Zr
0.750 0.000 0.330 Zr
0.500 0.333 0.667 Zr
0.250 0.670 0.000 Zr
0.250 0.000 0.670 Zr
0.250 0.330 0.330 Zr
0.250 0.664 0.664 Tl
0.750 0.000 0.664 Tl
0.750 0.664 0.000 Tl
0.250 0.336 0.000 Tl
0.750 0.336 0.336 Tl
0.250 0.000 0.336 Tl
0.000 0.000 0.000 Hf
0.500 0.000 0.000 Hf
```

The calculated energies rank the structures as follows, beginning with the most stable: entry ii, entry i.

Entry i
First-principles (PBE-GGA) data for crystalline HfZr6Tl5 at its relaxed geometry, as listed in Alexandria via LeMat-Bulk.

Properties
Space group: No. 12

POSCAR file:
```
HfZr6Tl5
1.0
5.679 -0.087 0.000
1.959 10.192 0.000
0.979 5.096 4.850
Tl Zr Hf
5 6 1
Direct
0.500 0.840 0.320 Tl
0.500 0.500 0.000 Tl
0.000 0.673 0.654 Tl
0.500 0.160 0.680 Tl
0.000 0.327 0.346 Tl
0.749 0.081 0.343 Zr
0.749 0.425 0.657 Zr
0.737 0.750 0.000 Zr
0.251 0.575 0.343 Zr
0.263 0.250 0.000 Zr
0.251 0.919 0.657 Zr
0.000 0.000 0.000 Hf
```

Entry ii
First-principles (PBE-GGA) data for crystalline HfZr6Tl5 at its relaxed geometry, as listed in Alexandria via LeMat-Bulk.

Properties
Space group: No. 71

POSCAR file:
```
HfZr6Tl5
1.0
0.895 -0.621 -5.079
-0.074 -6.670 0.803
-8.131 3.568 0.787
Zr Hf Tl
6 1 5
Direct
0.167 0.419 0.334 Zr
0.833 0.085 0.666 Zr
0.833 0.581 0.666 Zr
0.167 0.915 0.334 Zr
0.500 0.739 0.000 Zr
0.500 0.261 0.000 Zr
0.000 0.000 0.000 Hf
0.657 0.157 0.314 Tl
0.000 0.500 0.000 Tl
0.669 0.669 0.338 Tl
0.343 0.843 0.686 Tl
0.331 0.331 0.662 Tl
```

The calculated energies rank the structures as follows, beginning with the most stable: entry ii, entry i.

Entry i
First-principles (PBE-GGA) data for crystalline Hf2Zr4Tl at its relaxed geometry, as listed in Alexandria via LeMat-Bulk.

Properties
Space group: No. 12

POSCAR file:
```
Hf2Zr4Tl
1.0
-1.914 0.056 2.481
0.404 -7.795 0.488
6.111 4.228 2.639
Zr Hf Tl
4 2 1
Direct
0.353 0.584 0.706 Zr
0.919 0.306 0.838 Zr
0.647 0.416 0.294 Zr
0.081 0.694 0.162 Zr
0.776 0.861 0.552 Hf
0.224 0.139 0.448 Hf
0.000 0.000 0.000 Tl
```

Entry ii
First-principles (PBE-GGA) data for crystalline Hf2Zr4Tl at its relaxed geometry, as listed in Alexandria via LeMat-Bulk.

Properties
Space group: No. 139

POSCAR file:
```
Hf2Zr4Tl
1.0
5.358 0.000 0.000
0.000 5.358 0.000
2.679 2.679 6.969
Zr Hf Tl
4 2 1
Direct
0.799 0.799 0.401 Zr
0.000 0.500 0.000 Zr
0.500 0.000 0.000 Zr
0.201 0.201 0.599 Zr
0.603 0.603 0.794 Hf
0.397 0.397 0.206 Hf
0.000 0.000 0.000 Tl
```

The calculated energies rank the structures as follows, beginning with the most stable: entry i, entry ii.